A.
CuNiS: relaxed, GGA-PBE.

The volume comes out at 14.07 A^3/atom.

It has space group P1 (No. 1), with a = 3.8901 Å, b = 4.0104 Å, c = 5.6163 Å, α = 78.29°, β = 80.27° and γ = 85.15°. The distinct sites, in fractional coordinates, are Cu at (0.0000, 0.0000, 0.0000), Cu at (0.4225, 0.4557, 0.0841), Ni at (0.5432, 0.2147, 0.6891), Ni at (0.8649, 0.7561, 0.4854), S at (0.3092, 0.7308, 0.7005) and S at (0.8583, 0.3132, 0.3031).

B.
CuNiS: relaxed, GGA-PBE.

The volume comes out at 14.36 A^3/atom.

It has space group P1 (No. 1), with a = 4.1266 Å, b = 4.3153 Å, c = 5.1718 Å, α = 76.67°, β = 76.24° and γ = 79.04°. The distinct sites, in fractional coordinates, are Cu at (0.0000, 0.0000, 0.0000), Cu at (0.1008, 0.4091, 0.2445), Ni at (0.4801, 0.7799, 0.2755), Ni at (0.8862, 0.8890, 0.5488), S at (0.3454, 0.0881, 0.5668) and S at (0.7535, 0.5520, 0.9459).

Energy above the most stable structure, in kJ/mol of atoms: A 1.8; B 0.0